*w*
Density functional theory data (GGA-PBE) for BeCr3Ge after structural relaxation.

Cell lengths 4.609, 4.609, 4.609 Å; angles 90.00, 90.00, 90.00 degrees
Fractional coordinates of all 5 atoms:
Be (0.000, 0.000, 0.000)
Cr (0.000, 0.500, 0.500)
Cr (0.500, 0.000, 0.500)
Cr (0.500, 0.500, 0.000)
Ge (0.500, 0.500, 0.500)

## Properties
- total moment (μB per formula unit) = 10.02
- D(E_F) (states/eV/f.u.) = 5.961
- space-group type = No. 221

---

*x*
Density functional theory data (GGA-PBE) for BeCr3Ge after structural relaxation.

Cell lengths 4.080, 4.080, 4.080 Å; angles 90.00, 90.00, 90.00 degrees
Fractional coordinates of all 5 atoms:
Be (0.000, 0.000, 0.000)
Cr (0.000, 0.000, 0.500)
Cr (0.000, 0.500, 0.000)
Cr (0.500, 0.000, 0.000)
Ge (0.500, 0.500, 0.500)

## Properties
- total moment (μB per formula unit) = 7.04
- D(E_F) (states/eV/f.u.) = 4.183
- space-group type = No. 221

---

Q: Which of them is the most stable? A: *x*.